(1)
InGeCl3: PBEsol geometry, SCAN.

Properties
N(E_F) ... 0.0000 states/eV per atom
Crystal system ... trigonal
Formation energy from raw total energies ... -405 kJ/mol of formula units

abc: 7.5436 7.5436 17.4050
angles: 90.00 90.00 120.00
Space group R3c (No. 161, hexagonal axes)
Unique sites:
In: 0.0000 0.0000 0.0000 (multiplicity 6)
Ge: 0.0000 0.0000 0.2820 (multiplicity 6)
Cl: 0.0425 0.4421 0.0278 (multiplicity 18)

***

(2)
Ta2ZnOsAu: PBEsol geometry, SCAN.

Properties
N(E_F) ... 0.4498 states/eV per atom
Crystal system ... tetragonal
ΔH_f (0 K) ... 665 kJ/mol of formula units

abc: 4.5537 4.5537 4.4342
angles: 90.00 90.00 90.00
Space group P4/mmm (No. 123)
Unique sites:
Ta: 0.0000 0.5000 0.0000 (multiplicity 2)
Zn: 0.0000 0.0000 0.0000 (multiplicity 1)
Os: 0.0000 0.0000 0.5000 (multiplicity 1)
Au: 0.5000 0.5000 0.5000 (multiplicity 1)

***

(3)
PrSF: PBEsol geometry, SCAN.

Properties
N(E_F) ... 0.0000 states/eV per atom
Crystal system ... tetragonal
Formation energy from raw total energies ... -968 kJ/mol of formula units

abc: 3.9345 3.9345 6.9077
angles: 90.00 90.00 90.00
Space group P4/nmm (No. 129, origin choice 2)
Unique sites:
Pr: 0.2500 0.2500 0.2288 (multiplicity 2)
S: 0.2500 0.2500 0.6473 (multiplicity 2)
F: 0.2500 0.7500 0.0000 (multiplicity 2)

***

(4)
Li3Sb: PBEsol geometry, SCAN.

Properties
Offset from the most stable computed form ... 8 meV per atom
Crystal system ... cubic
Formation energy from raw total energies ... -261 kJ/mol of formula units

abc: 6.4894 6.4894 6.4894
angles: 90.00 90.00 90.00
Space group Fm-3m (No. 225)
Unique sites:
Li: 0.0000 0.0000 0.0000 (multiplicity 4)
Li: 0.2500 0.2500 0.2500 (multiplicity 8)
Sb: 0.0000 0.0000 0.5000 (multiplicity 4)

***

(5)
HfGaFe2Pb: PBEsol geometry, SCAN.

Properties
N(E_F) ... 1.1995 states/eV per atom
Crystal system ... tetragonal
ΔH_f (0 K) ... 643 kJ/mol of formula units

abc: 4.7378 4.7378 5.3506
angles: 90.00 90.00 90.00
Space group P4/mmm (No. 123)
Unique sites:
Hf: 0.0000 0.0000 0.0000 (multiplicity 1)
Ga: 0.5000 0.5000 0.0000 (multiplicity 1)
Fe: 0.0000 0.5000 0.5000 (multiplicity 2)
Pb: 0.0000 0.0000 0.5000 (multiplicity 1)

***

(6)
FeMo2H7O11: PBEsol geometry, SCAN.

Properties
Crystal system ... triclinic

abc: 5.5662 6.4086 7.1651
angles: 98.89 105.50 105.11
Space group P1 (No. 1)
Unique sites:
Fe: 0.0000 0.0000 0.0000 (multiplicity 1)
Mo: 0.3835 0.9880 0.7224 (multiplicity 1)
Mo: 0.6288 0.0421 0.3055 (multiplicity 1)
H: 0.0952 0.7804 0.2363 (multiplicity 1)
H: 0.2359 0.3161 0.9061 (multiplicity 1)
H: 0.5826 0.6229 0.4248 (multiplicity 1)
H: 0.6213 0.6624 0.6692 (multiplicity 1)
H: 0.6572 0.4233 0.5538 (multiplicity 1)
H: 0.7895 0.7055 0.1364 (multiplicity 1)
H: 0.9356 0.2581 0.7745 (multiplicity 1)
O: 0.0534 0.2733 0.9150 (multiplicity 1)
O: 0.1044 0.8692 0.7947 (multiplicity 1)
O: 0.2990 0.9062 0.4597 (multiplicity 1)
O: 0.3520 0.1021 0.1595 (multiplicity 1)
O: 0.4718 0.2709 0.8100 (multiplicity 1)
O: 0.5623 0.5421 0.5401 (multiplicity 1)
O: 0.6067 0.7571 0.2829 (multiplicity 1)
O: 0.6502 0.8805 0.8264 (multiplicity 1)
O: 0.7695 0.2297 0.5472 (multiplicity 1)
O: 0.8745 0.1203 0.1909 (multiplicity 1)
O: 0.9561 0.7354 0.1000 (multiplicity 1)

***

(7)
SrTePt2: PBEsol geometry, SCAN.

Properties
Offset from the most stable computed form ... 644 meV per atom
N(E_F) ... 0.5779 states/eV per atom
Crystal system ... cubic
Formation energy from raw total energies ... -58 kJ/mol of formula units

abc: 6.9364 6.9364 6.9364
angles: 90.00 90.00 90.00
Space group F-43m (No. 216)
Unique sites:
Sr: 0.0000 0.0000 0.0000 (multiplicity 4)
Te: 0.2500 0.2500 0.7500 (multiplicity 4)
Pt: 0.0000 0.0000 0.5000 (multiplicity 4)
Pt: 0.2500 0.2500 0.2500 (multiplicity 4)

***

(8)
CaGePd: PBEsol geometry, SCAN.

Properties
N(E_F) ... 0.4066 states/eV per atom
Crystal system ... orthorhombic
ΔH_f (0 K) ... -256 kJ/mol of formula units

abc: 4.3681 7.1340 7.4471
angles: 90.00 90.00 90.00
Space group Imm2 (No. 44)
Unique sites:
Ca: 0.0000 0.0000 0.0000 (multiplicity 2)
Ca: 0.0000 0.5000 0.1006 (multiplicity 2)
Ge: 0.0000 0.3137 0.7155 (multiplicity 4)
Pd: 0.0000 0.2031 0.3881 (multiplicity 4)

***

One value per record, in order, for DFT total energy: -16.12, -56.16, -22.18, -11.78, -36.88, -10.06, -50.13, -21.39 eV per atom.